Compound: Cs3Ti2Br9
Source: the Alexandria database
Functional: PBE-GGA
Structure: optimized geometry

Its uncorrected formation energy is -2025 kJ/mol of formula units. The calculation puts the total magnetization at 12.00 μB per cell. Its density of states at the Fermi level is 53.794 states/eV per cell. As for the final energy: -3.885 eV per atom.

It has space group R-3c (No. 167, hexagonal axes), with a = 13.3742 Å, b = 13.3742 Å, c = 19.8837 Å, α = 90.00°, β = 90.00° and γ = 120.00°. Symmetry generates all atoms from Cs at (0.0000, 0.3424, 0.2500), Ti at (0.0000, 0.0000, 0.1680), Br at (0.0000, 0.1573, 0.7500) and Br at (0.0020, 0.1618, 0.4001).